1.
Below is PuZr2Cd after structural relaxation, with properties calculated at the PBE level.

Lattice parameters (Å, degrees): 3.2569 3.2569 8.6912 90.00 90.00 90.00
Fractional coordinates of all 4 atoms:
Pu 0.0000 0.0000 0.0000
Zr 0.5000 0.5000 0.2579
Zr 0.5000 0.5000 0.7421
Cd 0.0000 0.0000 0.5000

Output
ΔE to the lowest computed polymorph (meV/atom): 0
ΔH_f (0 K) (eV per atom): 0.006

2.
Below is ZnSiSCl2 after structural relaxation, with properties calculated at the PBE level.

Lattice parameters (Å, degrees): 4.7388 4.7388 4.6666 90.00 90.00 90.00
Fractional coordinates of all 5 atoms:
Zn 0.0000 0.0000 0.0000
Si 0.5000 0.5000 0.5000
S 0.5000 0.5000 0.0000
Cl 0.0000 0.5000 0.5000
Cl 0.5000 0.0000 0.5000

Output
ΔE to the lowest computed polymorph (meV/atom): 0
Formation energy from raw total energies (eV per formula unit): -0.531

3.
Below is ZrNbRh2 after structural relaxation, with properties calculated at the PBE level.

Lattice parameters (Å, degrees): 6.5029 6.5029 6.5029 90.00 90.00 90.00
Fractional coordinates of all 16 atoms:
Zr 0.0000 0.0000 0.0000
Zr 0.0000 0.5000 0.5000
Zr 0.5000 0.0000 0.5000
Zr 0.5000 0.5000 0.0000
Nb 0.0000 0.0000 0.5000
Nb 0.0000 0.5000 0.0000
Nb 0.5000 0.0000 0.0000
Nb 0.5000 0.5000 0.5000
Rh 0.2500 0.2500 0.2500
Rh 0.2500 0.2500 0.7500
Rh 0.2500 0.7500 0.2500
Rh 0.2500 0.7500 0.7500
Rh 0.7500 0.2500 0.2500
Rh 0.7500 0.2500 0.7500
Rh 0.7500 0.7500 0.2500
Rh 0.7500 0.7500 0.7500

Output
ΔE to the lowest computed polymorph (meV/atom): 69
ΔH_f (0 K) (eV per atom): -0.452

4.
Below is CdSe3 after structural relaxation, with properties calculated at the PBE level.

Lattice parameters (Å, degrees): 3.8627 4.4818 11.2894 90.00 90.00 90.00
Fractional coordinates of all 8 atoms:
Cd 0.0000 0.0000 0.0000
Cd 0.5000 0.5000 0.0000
Se 0.0000 0.0000 0.5000
Se 0.0000 0.5000 0.1923
Se 0.0000 0.5000 0.8077
Se 0.5000 0.0000 0.1923
Se 0.5000 0.0000 0.8077
Se 0.5000 0.5000 0.5000

Output
Formation energy from raw total energies (eV per formula unit): 1.151

5.
Below is Ga2BiOsC after structural relaxation, with properties calculated at the PBE level.

Lattice parameters (Å, degrees): 4.1128 4.1128 5.0584 90.00 90.00 90.00
Fractional coordinates of all 5 atoms:
Ga 0.0000 0.5000 0.0000
Ga 0.5000 0.0000 0.0000
Bi 0.0000 0.0000 0.5000
Os 0.5000 0.5000 0.5000
C 0.0000 0.0000 0.0000

Output
ΔH_f (0 K) (eV per atom): 1.217

6.
Below is ZrSc5N6 after structural relaxation, with properties calculated at the PBE level.

Lattice parameters (Å, degrees): 5.5492 5.5492 5.5526 99.59 99.59 119.97
Fractional coordinates of all 12 atoms:
Zr 0.0000 0.0000 0.0000
Sc 0.1678 0.8322 0.5000
Sc 0.3337 0.6663 0.0000
Sc 0.5000 0.5000 0.5000
Sc 0.6663 0.3337 0.0000
Sc 0.8322 0.1678 0.5000
N 0.0833 0.4155 0.2496
N 0.2492 0.2492 0.7509
N 0.4155 0.0833 0.2496
N 0.5845 0.9167 0.7504
N 0.7508 0.7508 0.2491
N 0.9167 0.5845 0.7504

Output
Formation energy from raw total energies (eV per formula unit): -23.005

Energy? In order: -32.32 -15.05 -140.51 -20.44 -24.30 -113.16 eV/cell.
Total magnetization? In order: 5.34 0.00 0.00 0.00 0.00 0.00 μB/cell.